Below is a relaxed Nb3SnH crystal, with properties calculated at the GGA-PBE level.

It has space group I-4m2 (No. 119), with a = 5.5637 Å, b = 5.5637 Å, c = 10.7589 Å, α = 90.00°, β = 90.00° and γ = 90.00°. The distinct sites, in fractional coordinates, are Nb at (0.0000, 0.0000, 0.1250), Nb at (0.0000, 0.2423, 0.6369), Sn at (0.0000, 0.5000, 0.1049), H at (0.0000, 0.0000, 0.5000) and H at (0.0000, 0.5000, 0.7500).

The calculation puts the total DFT energy (no corrections) at -7.3924 eV/atom. The density of states at the Fermi level is 0.071 states/eV per atom. The calculated volume comes out at 16.7 Å³/atom.